P | Computed, not measured: a geometry-optimized RbMnRu2 structure at the PBE level of DFT.

Cell: 6.027 6.027 6.027 Å, 106.74 106.74 115.08°
Atoms (fractional coordinates):
Rb1 0.000 0.000 0.000
Rb2 0.750 0.250 0.500
Mn1 0.250 0.750 0.500
Mn2 0.500 0.500 0.000
Ru1 0.221 0.625 0.096
Ru2 0.375 0.471 0.596
Ru3 0.529 0.125 0.904
Ru4 0.875 0.779 0.404

For the density of states at the Fermi level, the calculation gives 0.555 states/eV/atom. The space group is I-42d, No. 122.

---

Q | Computed, not measured: a geometry-optimized RbMnRu2 structure at the PBE level of DFT.

Cell: 4.523 4.523 4.523 Å, 60.00 60.00 60.00°
Atoms (fractional coordinates):
Rb1 0.000 0.000 0.000
Mn1 0.500 0.500 0.500
Ru1 0.250 0.250 0.250
Ru2 0.750 0.750 0.750

For the density of states at the Fermi level, the calculation gives 2.561 states/eV/atom. The space group is Fm-3m, No. 225.

---

Which one sits at the top of the stability order? P does.

---

P | Computed, not measured: a geometry-optimized RbMn3S structure at the PBE level of DFT.

Cell: 4.639 4.639 4.639 Å, 90.00 90.00 90.00°
Atoms (fractional coordinates):
Rb1 0.000 0.000 0.000
Mn1 0.000 0.500 0.500
Mn2 0.500 0.000 0.500
Mn3 0.500 0.500 0.000
S1 0.500 0.500 0.500

For the density of states at the Fermi level, the calculation gives 0.849 states/eV/atom. The space group is Pm-3m, No. 221.

---

Q | Computed, not measured: a geometry-optimized RbMn3S structure at the PBE level of DFT.

Cell: 5.021 5.021 5.021 Å, 90.00 90.00 90.00°
Atoms (fractional coordinates):
Rb1 0.000 0.000 0.000
Mn1 0.000 0.000 0.500
Mn2 0.000 0.500 0.000
Mn3 0.500 0.000 0.000
S1 0.500 0.500 0.500

For the density of states at the Fermi level, the calculation gives 0.591 states/eV/atom. The space group is Pm-3m, No. 221.

---

Which one sits at the top of the stability order? P does.

---

P | Computed, not measured: a geometry-optimized Rb2MnS4 structure at the PBE level of DFT.

Cell: 8.878 8.878 8.878 Å, 148.58 148.58 45.03°
Atoms (fractional coordinates):
Rb1 0.149 0.149 0.000
Rb2 0.851 0.851 0.000
Mn1 0.500 0.500 0.000
S1 0.000 0.500 0.500
S2 0.363 0.363 0.000
S3 0.500 0.000 0.500
S4 0.637 0.637 0.000

For the density of states at the Fermi level, the calculation gives 1.094 states/eV/atom. The space group is I4/mmm, No. 139.

---

Q | Computed, not measured: a geometry-optimized Rb2MnS4 structure at the PBE level of DFT.

Cell: 9.803 6.899 12.174 Å, 90.00 90.00 90.00°
Atoms (fractional coordinates):
Rb1 0.034 0.250 0.163
Rb2 0.149 0.750 0.400
Rb3 0.351 0.250 0.900
Rb4 0.466 0.750 0.663
Rb5 0.534 0.250 0.337
Rb6 0.649 0.750 0.100
Rb7 0.851 0.250 0.600
Rb8 0.966 0.750 0.837
Mn1 0.246 0.750 0.084
Mn2 0.254 0.250 0.584
Mn3 0.746 0.750 0.416
Mn4 0.754 0.250 0.916
S1 0.037 0.750 0.111
S2 0.167 0.008 0.656
S3 0.167 0.492 0.656
S4 0.209 0.250 0.418
S5 0.291 0.750 0.918
S6 0.333 0.508 0.156
S7 0.333 0.992 0.156
S8 0.463 0.250 0.611
S9 0.537 0.750 0.389
S10 0.667 0.008 0.844
S11 0.667 0.492 0.844
S12 0.709 0.250 0.082
S13 0.791 0.750 0.582
S14 0.833 0.508 0.344
S15 0.833 0.992 0.344
S16 0.963 0.250 0.889

For the density of states at the Fermi level, the calculation gives 0.640 states/eV/atom. The space group is Pnma, No. 62.

---

Which one sits at the top of the stability order? Q does.